A plane-wave DFT calculation with GGA+U was carried out for crystalline Cs3BaNi2F9 at its relaxed geometry.

Output
spin magnetization	3.99	μB/f.u.
energy	-4.48	eV/atom
V	18.2	Å³ per atom
mass density	5.00	g/cm3
symmetry	P-3m1, No. 164

Cell lengths 6.3079, 6.3079, 7.9422 Å; angles 90.00, 90.00, 120.00 degrees
Closest atoms and distances in Å follow each position.
Fractional coordinates of all 15 atoms:
Cs (0.0000, 0.0000, 0.0000)  12 F 3.11-3.15
Cs (0.3333, 0.6667, 0.6916)  9 F 3.05-3.16
Cs (0.6667, 0.3333, 0.3084)  9 F 3.05-3.16
Ba (0.0000, 0.0000, 0.5000)  6 F 2.57
Ni (0.3333, 0.6667, 0.1487)  6 F 2.02-2.17
Ni (0.6667, 0.3333, 0.8513)  6 F 2.02-2.17
F (0.0000, 0.5000, 0.0000)  2 Ni 2.17
F (0.1841, 0.3682, 0.2991)  1 Ni 2.02
F (0.1841, 0.8159, 0.2991)  1 Ni 2.02
F (0.3682, 0.1841, 0.7009)  1 Ni 2.02
F (0.5000, 0.0000, 0.0000)  2 Ni 2.17
F (0.5000, 0.5000, 0.0000)  2 Ni 2.17
F (0.6318, 0.8159, 0.2991)  1 Ni 2.02
F (0.8159, 0.1841, 0.7009)  1 Ni 2.02
F (0.8159, 0.6318, 0.7009)  1 Ni 2.02